A geometry-optimized IrWCl structure. Source: the Alexandria database, functional PBEsol.

Computed properties:
Calculated density (g cm⁻³): 12.6
Size of the total moment (μB per cell): 0.0
E_form (uncorrected) (kJ per mole of atoms): 110

Cell and atoms, written as POSCAR:
```
IrWCl
1.0
0.000 3.006 3.006
3.006 0.000 3.006
3.006 3.006 0.000
Ir W Cl
1 1 1
direct
0.000 0.000 0.000 Ir
0.750 0.750 0.750 W
0.250 0.250 0.250 Cl
```